(1)
K2CaO: optimized geometry, GGA-PBE.

abc: 8.189 8.189 10.427
angles: 90.00 90.00 90.00
Space group I-42d (No. 122)
Symmetry-distinct sites (fractional):
K  0.073  0.750  0.125 (multiplicity 8)
Ca  0.000  0.000  0.500 (multiplicity 4)
O  0.000  0.000  0.000 (multiplicity 4)

## Properties
Formation energy without anion corrections (eV per atom): -0.345

***

(2)
LiSbBrO2: optimized geometry, GGA-PBE.

abc: 6.881 4.063 7.344
angles: 90.00 103.15 90.00
Space group P2_1/m (No. 11)
Symmetry-distinct sites (fractional):
Li  0.110  0.250  0.436 (multiplicity 2)
Sb  0.132  0.250  0.882 (multiplicity 2)
Br  0.463  0.250  0.729 (multiplicity 2)
O  0.042  0.750  0.361 (multiplicity 2)
O  0.055  0.750  0.925 (multiplicity 2)

## Properties
Formation energy without anion corrections (eV per atom): -1.242

***

(3)
Li2CuRh2: optimized geometry, GGA-PBE.

abc: 6.770 6.770 2.941
angles: 90.00 90.00 90.00
Space group P4/mbm (No. 127)
Symmetry-distinct sites (fractional):
Li  0.167  0.333  0.000 (multiplicity 4)
Cu  0.000  0.000  0.500 (multiplicity 2)
Rh  0.132  0.632  0.500 (multiplicity 4)

## Properties
Formation energy (meV/atom): 173
Relative energy among the computed polymorphs (eV per atom): 0.081

***

(4)
BeSi2Br: optimized geometry, GGA-PBE.

abc: 3.497 3.386 7.052
angles: 90.00 92.93 90.00
Space group Pm (No. 6)
Symmetry-distinct sites (fractional):
Be  0.000  0.000  0.000 (multiplicity 1)
Si  0.475  0.000  0.763 (multiplicity 1)
Si  0.970  0.500  0.715 (multiplicity 1)
Br  0.020  0.500  0.202 (multiplicity 1)

## Properties
Formation energy without anion corrections (eV per atom): 0.095
Relative energy among the computed polymorphs (eV per atom): 0.047

***

(5)
Pr4NiSCl2: optimized geometry, GGA-PBE.

abc: 7.278 3.995 7.481
angles: 90.00 108.10 90.00
Space group P2/m (No. 10)
Symmetry-distinct sites (fractional):
Pr  0.223  0.000  0.214 (multiplicity 2)
Pr  0.261  0.500  0.779 (multiplicity 2)
Ni  0.000  0.500  0.000 (multiplicity 1)
S  0.500  0.000  0.000 (multiplicity 1)
Cl  0.000  0.000  0.500 (multiplicity 1)
Cl  0.500  0.500  0.500 (multiplicity 1)

## Properties
Formation energy without anion corrections (eV per atom): -1.326

***

(6)
Y2HfTiAl: optimized geometry, GGA-PBE.

abc: 5.534 5.534 4.800
angles: 90.00 90.00 90.00
Space group P4/mmm (No. 123)
Symmetry-distinct sites (fractional):
Y  0.000  0.500  0.000 (multiplicity 2)
Hf  0.000  0.000  0.000 (multiplicity 1)
Ti  0.000  0.000  0.500 (multiplicity 1)
Al  0.500  0.500  0.500 (multiplicity 1)

## Properties
Formation energy (meV/atom): 924

***

(7)
TbPr4Er2: optimized geometry, GGA-PBE.

abc: 6.927 11.517 12.170
angles: 90.00 90.00 90.00
Space group Imma (No. 74)
Symmetry-distinct sites (fractional):
Tb  0.250  0.250  0.250 (multiplicity 4)
Pr  0.000  0.003  0.150 (multiplicity 8)
Pr  0.221  0.250  0.991 (multiplicity 8)
Er  0.000  0.000  0.500 (multiplicity 4)
Er  0.000  0.250  0.718 (multiplicity 4)

## Properties
Formation energy (meV/atom): 251
Relative energy among the computed polymorphs (eV per atom): 0.188

***

(8)
Co3SiH: optimized geometry, GGA-PBE.

abc: 8.268 9.906 4.444
angles: 90.00 92.89 90.00
Space group C2/c (No. 15)
Symmetry-distinct sites (fractional):
Co  0.117  0.167  0.065 (multiplicity 8)
Co  0.127  0.309  0.595 (multiplicity 8)
Co  0.128  0.433  0.088 (multiplicity 8)
Si  0.143  0.072  0.564 (multiplicity 8)
H  0.000  0.304  0.250 (multiplicity 4)
H  0.000  0.440  0.750 (multiplicity 4)

## Properties
Relative energy among the computed polymorphs (eV per atom): 0.110